# BaSnN2O, optimized geometry, DFT PBE
# Formation energy from raw total energies in eV/atom: -0.27
data_BaSnN2O
_symmetry_space_group_name_H-M 'P 1'
_symmetry_Int_Tables_number 1
_symmetry_space_group_name_Hall 'P 1'
_cell_length_a 4.277
_cell_length_b 4.277
_cell_length_c 4.316
_cell_angle_alpha 90.00
_cell_angle_beta 90.00
_cell_angle_gamma 90.00
loop_
_atom_site_label
_atom_site_fract_x
_atom_site_fract_y
_atom_site_fract_z
Ba1 0.000 0.000 0.000
Sn1 0.500 0.500 0.500
N1 0.000 0.500 0.500
N2 0.500 0.000 0.500
O1 0.500 0.500 0.000



# CaY3Ir, optimized geometry, DFT PBE
# Energy relative to the elements in eV per atom: -0.22
# Polymorph energy (0 for the lowest one) in kJ per mole of atoms: 17.8
data_CaY3Ir
_symmetry_space_group_name_H-M 'P 1'
_symmetry_Int_Tables_number 1
_symmetry_space_group_name_Hall 'P 1'
_cell_length_a 6.681
_cell_length_b 6.681
_cell_length_c 8.804
_cell_angle_alpha 97.46
_cell_angle_beta 97.46
_cell_angle_gamma 50.77
loop_
_atom_site_label
_atom_site_fract_x
_atom_site_fract_y
_atom_site_fract_z
Ca1 0.092 0.092 0.170
Ca2 0.908 0.908 0.830
Y1 0.163 0.163 0.616
Y2 0.353 0.353 0.050
Y3 0.448 0.448 0.649
Y4 0.552 0.552 0.351
Y5 0.647 0.647 0.950
Y6 0.837 0.837 0.384
Ir1 0.316 0.316 0.361
Ir2 0.684 0.684 0.639



# TlFeBr2, optimized geometry, DFT PBE
# Polymorph energy (0 for the lowest one) in kJ per mole of atoms: 21.1
# Formation energy from raw total energies in eV/atom: -0.05
data_TlFeBr2
_symmetry_space_group_name_H-M 'P 1'
_symmetry_Int_Tables_number 1
_symmetry_space_group_name_Hall 'P 1'
_cell_length_a 9.796
_cell_length_b 9.796
_cell_length_c 9.796
_cell_angle_alpha 23.43
_cell_angle_beta 23.43
_cell_angle_gamma 23.43
loop_
_atom_site_label
_atom_site_fract_x
_atom_site_fract_y
_atom_site_fract_z
Tl1 0.000 0.000 0.000
Fe1 0.500 0.500 0.500
Br1 0.419 0.419 0.419
Br2 0.581 0.581 0.581



Number 1: total moment 2.00 μB/f.u., total energy -5.78 eV per atom, DOS at the Fermi energy 0.64 states/eV per atom. Number 2: total moment 0.00 μB/f.u., total energy -6.27 eV per atom, DOS at the Fermi energy 1.36 states/eV per atom. Number 3: total moment 3.02 μB/f.u., total energy -3.59 eV per atom, DOS at the Fermi energy 0.25 states/eV per atom.